(1)
Compound: KMn2Os
Source: Alexandria
Functional: SCAN
Structure: single point on PBEsol structure

The structure in POSCAR format:
```
KMn2Os
1.0
-1.9130 -1.7269 0.6881
3.0599 -2.2663 2.8195
-1.3875 3.1441 4.0331
K Mn Os
1 2 1
Cartesian
0.8362 0.4389 3.4263
0.0000 0.0000 0.0000
-1.6503 0.7086 2.3606
0.5734 -1.9966 1.7538
```

* energy of formation from the pure elements: 4.697 eV per formula unit
* energy above the most stable polymorph in this dataset: 420 meV/atom

***

(2)
Compound: KMnOs
Source: Alexandria
Functional: SCAN
Structure: single point on PBEsol structure

The structure in POSCAR format:
```
KMnOs
1.0
4.6327 0.0000 0.0000
2.3163 4.0120 0.0000
2.3163 1.3373 3.7826
K Mn Os
1 1 1
Cartesian
2.3163 1.3373 0.9456
0.0000 0.0000 0.0000
4.6327 2.6747 1.8913
```

* energy of formation from the pure elements: 7.614 eV per formula unit

***

(3)
Compound: KMn2Os
Source: Alexandria
Functional: SCAN
Structure: single point on PBEsol structure

The structure in POSCAR format:
```
KMn2Os
1.0
-0.4895 -2.4830 -0.7727
2.4038 -1.6974 3.9318
-5.2294 2.1162 1.0437
K Mn Os
1 2 1
Cartesian
-2.4049 -1.2284 0.9400
-3.0272 -2.0660 4.0260
-0.8892 -0.8360 3.2499
0.6482 -2.0884 1.7692
```

* energy of formation from the pure elements: 3.640 eV per formula unit
* energy above the most stable polymorph in this dataset: 155 meV/atom

***

(4)
Compound: K2MnP
Source: Alexandria
Functional: SCAN
Structure: single point on PBEsol structure

The structure in POSCAR format:
```
K2MnP
1.0
4.2112 0.0000 0.0000
0.0000 4.2112 0.0000
-2.1056 -2.1056 5.1517
K Mn P
2 1 1
Cartesian
0.0000 2.1056 2.5758
2.1056 0.0000 2.5758
0.0000 0.0000 0.0000
2.1056 2.1056 0.0000
```

* energy of formation from the pure elements: 0.831 eV per formula unit

***

(5)
Compound: K2MnP
Source: Alexandria
Functional: SCAN
Structure: single point on PBEsol structure

The structure in POSCAR format:
```
K2MnP
1.0
-1.8622 3.6709 0.9099
-1.1900 0.3940 -4.0249
-4.3959 -2.4917 1.0558
K Mn P
2 1 1
Cartesian
-0.5950 0.1970 -2.0125
-0.9311 1.8355 0.4550
-3.7241 0.7866 -1.0296
-2.1979 -1.2458 0.5279
```

* energy of formation from the pure elements: 0.765 eV per formula unit

***

(6)
Compound: KMnP2
Source: Alexandria
Functional: SCAN
Structure: single point on PBEsol structure

The structure in POSCAR format:
```
KMnP2
1.0
-1.7561 0.3170 1.8849
-3.5154 -2.7932 -2.8055
1.6858 -4.4510 2.3191
K Mn P
1 1 2
Cartesian
-1.7929 -3.4636 0.6992
-0.8781 0.1585 0.9425
0.8429 -2.2255 1.1595
-1.7577 -1.3966 -1.4028
```

* energy of formation from the pure elements: 1.067 eV per formula unit
* energy above the most stable polymorph in this dataset: 707 meV/atom

***

In the order shown, the computed magnetic moment values come out to 8.1; 7.1; 7.2; 4.0; 4.1; 4.2 μB/f.u..